The following is a GGA-PBEsol calculation of a relaxed Sc2Ga2Pt crystal, from Alexandria.

a = 6.594 Å, b = 6.594 Å, c = 3.987 Å
α = 90.00°, β = 90.00°, γ = 90.00°
Space group P4/mbm (No. 127)
One atom of each set of equivalent atoms:
Sc 0.171 0.329 0.000 [4 per cell]
Ga 0.133 0.633 0.500 [4 per cell]
Pt 0.000 0.000 0.500 [2 per cell]

Computed properties:
Energy of formation in kJ/mol of formula units: -431

***

The following is a GGA-PBEsol calculation of a relaxed GaPtSe3 crystal, from Alexandria.

a = 4.937 Å, b = 4.937 Å, c = 4.937 Å
α = 90.00°, β = 90.00°, γ = 90.00°
Space group Pm-3m (No. 221)
One atom of each set of equivalent atoms:
Ga 0.000 0.000 0.000 [1 per cell]
Pt 0.500 0.500 0.500 [1 per cell]
Se 0.000 0.500 0.500 [3 per cell]

Computed properties:
Formation energy without anion corrections in eV/atom: 0.3583
Relative energy among the computed polymorphs in meV per atom: 0

***

The following is a GGA-PBEsol calculation of a relaxed GaPtSe2 crystal, from Alexandria.

a = 5.707 Å, b = 5.707 Å, c = 11.295 Å
α = 90.00°, β = 90.00°, γ = 90.00°
Space group I-42d (No. 122)
One atom of each set of equivalent atoms:
Ga 0.000 0.000 0.000 [4 per cell]
Pt 0.000 0.000 0.500 [4 per cell]
Se 0.244 0.250 0.625 [8 per cell]

Computed properties:
Formation energy without anion corrections in eV/atom: -0.1999

***

The following is a GGA-PBEsol calculation of a relaxed GaPtSe3 crystal, from Alexandria.

a = 4.766 Å, b = 4.766 Å, c = 4.766 Å
α = 90.00°, β = 90.00°, γ = 90.00°
Space group Pm-3m (No. 221)
One atom of each set of equivalent atoms:
Ga 0.000 0.000 0.000 [1 per cell]
Pt 0.500 0.500 0.500 [1 per cell]
Se 0.000 0.000 0.500 [3 per cell]

Computed properties:
Formation energy without anion corrections in eV/atom: 0.8623
Relative energy among the computed polymorphs in meV per atom: 504

***

no.,uncorrected energy (eV per atom)
1,-6.263
2,-4.013
3,-4.701
4,-3.508